Below is a relaxed structure of Pa4Fe2Te5, with properties calculated at the GGA-PBE level.

The value obtained for the mass density is 8969 kg/m3. Its space group is P2/m, No. 10. The calculation puts the total magnetization at 0.002 μB/f.u. For the raw formation energy, the calculation gives -0.6356 eV per atom.

Cell lengths 3.7940, 7.5531, 11.3470 Å; angles 107.62, 90.00, 90.00 degrees
Element x y z (fractional)
Pa  0.5000  0.2637  0.7899
Pa  0.5000  0.7363  0.2101
Pa  0.5000  0.8118  0.5686
Pa  0.5000  0.1882  0.4314
Te  0.0000  0.9500  0.8094
Te  0.0000  0.4472  0.6420
Te  0.0000  0.0500  0.1906
Te  0.0000  0.5528  0.3580
Te  0.0000  0.5000  0.0000
Fe  0.0000  0.9260  0.3817
Fe  0.0000  0.0740  0.6183